VASP calculation (PBE-GGA) on a geometry-optimized K2BaBr structure.

Computed properties:
Total magnetization: 1.72 μB/cell
Energy relative to the elements, uncorrected: -0.4295 eV per atom
Offset from the most stable computed form: 336 meV/atom
E_tot: -1.877 eV per atom

Cell: 5.626 5.626 13.495 Å, 90.00 90.00 90.00°
Space group I-4m2 (No. 119)
Unique sites:
1 K 0.000 0.000 0.000
2 K 0.000 0.500 0.250
3 Ba 0.000 0.500 0.750
4 Br 0.000 0.000 0.500

=====

VASP calculation (PBE-GGA) on a geometry-optimized KBaBr2 structure.

Computed properties:
Total magnetization: 3.47 μB/cell
Energy relative to the elements, uncorrected: -1.4215 eV per atom
Offset from the most stable computed form: 203 meV/atom
E_tot: -3.013 eV per atom

Cell: 8.248 8.248 8.248 Å, 90.00 90.00 90.00°
Space group Fm-3m (No. 225)
Unique sites:
1 K 0.000 0.000 0.000
2 Ba 0.000 0.000 0.500
3 Br 0.250 0.250 0.250

=====

VASP calculation (PBE-GGA) on a geometry-optimized KBa2Br structure.

Computed properties:
Total magnetization: 7.83 μB/cell
Energy relative to the elements, uncorrected: -0.3186 eV per atom
Offset from the most stable computed form: 411 meV/atom
E_tot: -1.973 eV per atom

Cell: 9.401 9.401 9.401 Å, 90.00 90.00 90.00°
Space group Fm-3m (No. 225)
Unique sites:
1 K 0.000 0.000 0.000
2 Ba 0.250 0.250 0.250
3 Br 0.000 0.000 0.500

=====

VASP calculation (PBE-GGA) on a geometry-optimized KBaBr2 structure.

Computed properties:
Total magnetization: 0.47 μB/cell
Energy relative to the elements, uncorrected: -1.5546 eV per atom
Offset from the most stable computed form: 69 meV/atom
E_tot: -3.146 eV per atom

Cell: 4.381 4.209 8.898 Å, 90.00 90.33 90.00°
Space group P2/m (No. 10)
Unique sites:
1 K 0.000 0.000 0.000
2 Ba 0.500 0.000 0.500
3 Br 0.496 0.500 0.212

=====

VASP calculation (PBE-GGA) on a geometry-optimized KBa2Br structure.

Computed properties:
Total magnetization: 0.26 μB/cell
Energy relative to the elements, uncorrected: -0.6994 eV per atom
Offset from the most stable computed form: 31 meV/atom
E_tot: -2.353 eV per atom

Cell: 4.177 4.177 11.780 Å, 90.00 90.00 90.00°
Space group P4mm (No. 99)
Unique sites:
1 K 0.000 0.000 0.000
2 Ba 0.000 0.000 0.626
3 Ba 0.500 0.500 0.323
4 Br 0.500 0.500 0.805

=====

VASP calculation (PBE-GGA) on a geometry-optimized K4BaBr5 structure.

Computed properties:
Total magnetization: 1.09 μB/cell
Energy relative to the elements, uncorrected: -1.6714 eV per atom
E_tot: -3.139 eV per atom

Cell: 4.573 6.758 24.875 Å, 90.00 90.00 90.00°
Space group Immm (No. 71)
Unique sites:
1 K 0.000 0.000 0.102
2 K 0.000 0.000 0.296
3 Ba 0.000 0.000 0.500
4 Br 0.000 0.500 0.104
5 Br 0.000 0.500 0.301
6 Br 0.000 0.500 0.500

=====

VASP calculation (PBE-GGA) on a geometry-optimized K5Ba3Br12 structure.

Computed properties:
Total magnetization: 11.82 μB/cell
Energy relative to the elements, uncorrected: -1.7448 eV per atom
E_tot: -3.311 eV per atom

Cell: 19.049 19.049 19.049 Å, 90.00 90.00 90.00°
Space group Ia-3d (No. 230)
Unique sites:
1 K 0.000 0.000 0.000
2 K 0.000 0.250 0.375
3 Ba 0.000 0.250 0.125
4 Br 0.016 0.075 0.655

=====

VASP calculation (PBE-GGA) on a geometry-optimized KBaBr2 structure.

Computed properties:
Total magnetization: 0.00 μB/cell
Energy relative to the elements, uncorrected: -1.5127 eV per atom
Offset from the most stable computed form: 111 meV/atom
E_tot: -3.104 eV per atom

Cell: 9.268 9.286 4.861 Å, 90.00 95.33 90.00°
Space group C2/m (No. 12)
Unique sites:
1 K 0.000 0.000 0.000
2 Ba 0.000 0.500 0.000
3 Br 0.250 0.250 0.000